Computed, not measured: a PBEsol-optimized structure of La5In at the SCAN level of DFT.

Calculated values
As for the space group: P-62m. The value obtained for the formation energy is -0.2230 eV/atom. As for the volume: 187.7 Å³/f.u.

a b c (Å): 6.113 6.113 5.799
angles (deg): 90.00 90.00 120.00
Positions (direct):
La (0.000, 0.690, 0.000)
La (0.310, 0.310, 0.000)
La (0.333, 0.667, 0.500)
La (0.667, 0.333, 0.500)
La (0.690, 0.000, 0.000)
In (0.000, 0.000, 0.500)